(1)
# FeP2Ir

FeP2Ir after structural relaxation (PBE, the Alexandria database).

Output
The calculation puts the energy above the most stable polymorph in this dataset at 527.4 meV per atom. The crystal system is tetragonal. Its density of states at the Fermi level is 0.877 states/eV/atom. The symmetry is I-4m2, No. 119. As for the total magnetization: 1.88 Bohr magnetons per cell.

Cell: 4.9288 4.9288 4.9288 Å, 138.50 138.50 60.14°
Last column: magnetic moment on the atom in μB.
Atoms (fractional coordinates):
Fe: 0.5000 0.5000 0.0000  1.93
Ir: 0.7500 0.2500 0.5000  0.00
P: 0.0000 0.0000 0.0000  -0.01
P: 0.2500 0.7500 0.5000  -0.01



(2)
# Na6TlPb

Na6TlPb after structural relaxation (PBE, the Alexandria database).

Output
The calculation puts the energy above the most stable polymorph in this dataset at 0.0 meV per atom. The crystal system is orthorhombic. Its density of states at the Fermi level is 0.603 states/eV/atom. The symmetry is Pmm2, No. 25. As for the total magnetization: 0.00 Bohr magnetons per cell.

Cell: 5.6914 5.8868 7.1954 Å, 90.00 90.00 90.00°
Atoms (fractional coordinates):
Na: 0.5000 0.8125 0.2588
Na: 0.0000 0.1901 0.7453
Na: 0.0000 0.1901 0.2547
Na: 0.5000 0.8125 0.7412
Na: 0.0000 0.6556 0.5000
Na: 0.5000 0.3346 0.0000
Tl: 0.0000 0.6945 0.0000
Pb: 0.5000 0.3102 0.5000



(3)
# BiAsC

BiAsC after structural relaxation (PBE, the Alexandria database).

Output
The calculation puts the energy above the most stable polymorph in this dataset at 111.5 meV per atom. The crystal system is monoclinic. Its density of states at the Fermi level is 0.148 states/eV/atom. The symmetry is Cm, No. 8. As for the total magnetization: 0.00 Bohr magnetons per cell.

Cell: 7.2460 6.0702 8.7154 Å, 90.00 114.04 90.00°
Atoms (fractional coordinates):
C: 0.5620 0.0000 0.8673
C: 0.5620 0.5000 0.3673
C: 0.4035 0.0000 0.7374
C: 0.4035 0.5000 0.2374
As: 0.0663 0.0000 0.9466
As: 0.0663 0.5000 0.4466
As: 0.8028 0.0000 0.0640
As: 0.8028 0.5000 0.5640
Bi: 0.8015 0.0000 0.6141
Bi: 0.8015 0.5000 0.1141
Bi: 0.1451 0.0000 0.4863
Bi: 0.1451 0.5000 0.9863



(4)
# Ce3DyAu7

Ce3DyAu7 after structural relaxation (PBE, the Alexandria database).

Output
The crystal system is orthorhombic. Its density of states at the Fermi level is 2.029 states/eV/atom. The symmetry is Cmcm, No. 63. As for the total magnetization: 5.77 Bohr magnetons per cell. The calculation puts the total energy at -4.75 eV per atom.

Cell: 3.7499 11.2845 12.9779 Å, 90.00 90.00 99.56°
Last column: magnetic moment on the atom in μB.
Atoms (fractional coordinates):
Ce: 0.1409 0.2818 0.4385  0.78
Ce: 0.8591 0.7182 0.5615  0.78
Ce: 0.1947 0.3894 0.7500  0.82
Ce: 0.8053 0.6106 0.2500  0.82
Ce: 0.1409 0.2818 0.0615  0.78
Ce: 0.8591 0.7182 0.9385  0.78
Dy: 0.9932 0.9864 0.2500  0.03
Dy: 0.0068 0.0136 0.7500  0.03
Au: 0.3817 0.7634 0.7500  0.00
Au: 0.6183 0.2366 0.2500  0.00
Au: 0.5336 0.0672 0.4162  0.00
Au: 0.4664 0.9328 0.5838  0.00
Au: 0.4664 0.9328 0.9162  0.00
Au: 0.5336 0.0672 0.0838  0.00
Au: 0.4024 0.8049 0.3648  0.00
Au: 0.5976 0.1951 0.6352  0.00
Au: 0.2782 0.5564 0.4304  0.01
Au: 0.7218 0.4436 0.5696  0.01
Au: 0.7218 0.4436 0.9304  0.01
Au: 0.2782 0.5564 0.0696  0.01
Au: 0.4024 0.8049 0.1352  0.00
Au: 0.5976 0.1951 0.8648  0.00



(5)
# Ca6Rh

Ca6Rh after structural relaxation (PBE, the Alexandria database).

Output
The crystal system is orthorhombic. Its density of states at the Fermi level is 0.760 states/eV/atom. The symmetry is Pnma, No. 62. As for the total magnetization: 0.00 Bohr magnetons per cell. The calculation puts the total energy at -2.95 eV per atom.

Cell: 6.8058 11.8319 12.9582 Å, 90.00 90.00 90.00°
Atoms (fractional coordinates):
Ca: 0.7495 0.2500 0.5047
Ca: 0.2505 0.7500 0.4953
Ca: 0.2495 0.7500 0.9953
Ca: 0.7505 0.2500 0.0047
Ca: 0.4118 0.2500 0.7530
Ca: 0.5882 0.7500 0.2470
Ca: 0.9118 0.7500 0.7470
Ca: 0.0882 0.2500 0.2530
Ca: 0.2459 0.4165 0.5043
Ca: 0.7541 0.5835 0.4957
Ca: 0.7459 0.5835 0.9957
Ca: 0.7541 0.9165 0.4957
Ca: 0.2541 0.4165 0.0043
Ca: 0.2459 0.0835 0.5043
Ca: 0.2541 0.0835 0.0043
Ca: 0.7459 0.9165 0.9957
Ca: 0.9153 0.4157 0.7497
Ca: 0.0847 0.5843 0.2503
Ca: 0.4153 0.5843 0.7503
Ca: 0.0847 0.9157 0.2503
Ca: 0.5847 0.4157 0.2497
Ca: 0.9153 0.0843 0.7497
Ca: 0.5847 0.0843 0.2497
Ca: 0.4153 0.9157 0.7503
Rh: 0.0829 0.2500 0.6267
Rh: 0.9171 0.7500 0.3733
Rh: 0.5829 0.7500 0.8733
Rh: 0.4171 0.2500 0.1267



(6)
# Rb2InB

Rb2InB after structural relaxation (PBE, the Alexandria database).

Output
The calculation puts the energy above the most stable polymorph in this dataset at 640.1 meV per atom. The crystal system is cubic. Its density of states at the Fermi level is 1.046 states/eV/atom. The symmetry is Fm-3m, No. 225. As for the total magnetization: 0.00 Bohr magnetons per cell.

Cell: 5.9408 5.9408 5.9408 Å, 60.00 60.00 60.00°
Atoms (fractional coordinates):
B: 0.0000 0.0000 0.0000
Rb: 0.2500 0.2500 0.2500
Rb: 0.7500 0.7500 0.7500
In: 0.5000 0.5000 0.5000



(7)
# Fe2CoIr

Fe2CoIr after structural relaxation (PBE, the Alexandria database).

Output
The crystal system is orthorhombic. Its density of states at the Fermi level is 1.342 states/eV/atom. The symmetry is Cmmm, No. 65. As for the total magnetization: 7.06 Bohr magnetons per cell. The calculation puts the total energy at -8.21 eV per atom.

Cell: 4.4511 4.4511 2.6434 Å, 90.00 90.00 107.61°
Last column: magnetic moment on the atom in μB.
Atoms (fractional coordinates):
Co: 0.0000 0.5000 0.5000  1.76
Fe: 0.0000 0.0000 0.0000  2.54
Fe: 0.5000 0.5000 0.0000  2.54
Ir: 0.5000 0.0000 0.5000  0.24



(8)
# CrOsSe2

CrOsSe2 after structural relaxation (PBE, the Alexandria database).

Output
The calculation puts the energy above the most stable polymorph in this dataset at 87.0 meV per atom. The calculation puts the uncorrected formation energy at 16 meV per atom. The crystal system is orthorhombic. Its density of states at the Fermi level is 0.937 states/eV/atom. The symmetry is Immm, No. 71. As for the total magnetization: 2.04 Bohr magnetons per cell.

Cell: 6.9606 6.9606 6.9606 Å, 148.69 149.22 44.47°
Last column: magnetic moment on the atom in μB.
Atoms (fractional coordinates):
Cr: 0.2500 0.7500 0.5000  2.46
Os: 0.7500 0.2500 0.5000  -0.37
Se: 0.8823 0.8823 0.0000  -0.08
Se: 0.6177 0.6177 0.0000  -0.08



(9)
# ZrCdH3

ZrCdH3 after structural relaxation (PBE, the Alexandria database).

Output
The calculation puts the energy above the most stable polymorph in this dataset at 547.1 meV per atom. The crystal system is cubic. Its density of states at the Fermi level is 0.541 states/eV/atom. The symmetry is Pm-3m, No. 221. As for the total magnetization: 0.00 Bohr magnetons per cell.

Cell: 3.7890 3.7890 3.7890 Å, 90.00 90.00 90.00°
Atoms (fractional coordinates):
H: 0.0000 0.5000 0.0000
H: 0.0000 0.0000 0.5000
H: 0.5000 0.0000 0.0000
Zr: 0.5000 0.5000 0.5000
Cd: 0.0000 0.0000 0.0000



(10)
# ScRuPt2

ScRuPt2 after structural relaxation (PBE, the Alexandria database).

Output
The crystal system is tetragonal. Its density of states at the Fermi level is 0.854 states/eV/atom. The symmetry is I4/mmm, No. 139. As for the total magnetization: 0.00 Bohr magnetons per cell. The calculation puts the total energy at -7.55 eV per atom.

Cell: 4.9196 4.9196 4.9196 Å, 132.54 132.55 69.38°
Atoms (fractional coordinates):
Pt: 0.0000 0.0000 0.0000
Pt: 0.5000 0.5000 0.0000
Ru: 0.7500 0.2500 0.5000
Sc: 0.2500 0.7500 0.5000



(11)
# NaTcTe2

NaTcTe2 after structural relaxation (PBE, the Alexandria database).

Output
The calculation puts the energy above the most stable polymorph in this dataset at 35.6 meV per atom. The calculation puts the uncorrected formation energy at -50 meV per atom. The crystal system is tetragonal. Its density of states at the Fermi level is 0.848 states/eV/atom. The symmetry is I-42d, No. 122. As for the total magnetization: 0.00 Bohr magnetons per cell.

Cell: 6.9563 6.9563 7.4970 Å, 62.36 62.36 90.00°
Atoms (fractional coordinates):
Na: 0.5000 0.5000 0.0000
Na: 0.2500 0.7500 0.5000
Te: 0.6961 0.1250 0.2500
Te: 0.0539 0.6250 0.2500
Te: 0.3750 0.3039 0.7500
Te: 0.8750 0.9461 0.7500
Tc: 0.0000 0.0000 0.0000
Tc: 0.7500 0.2500 0.5000



(12)
# TbDyYHo

TbDyYHo after structural relaxation (PBE, the Alexandria database).

Output
The calculation puts the energy above the most stable polymorph in this dataset at 120.1 meV per atom. The crystal system is cubic. Its density of states at the Fermi level is 2.659 states/eV/atom. The symmetry is F-43m, No. 216. As for the total magnetization: 0.01 Bohr magnetons per cell.

Cell: 5.6675 5.6675 5.6675 Å, 60.00 60.00 60.00°
Atoms (fractional coordinates):
Y: 0.2500 0.2500 0.2500
Tb: 0.5000 0.5000 0.5000
Ho: 0.7500 0.7500 0.7500
Dy: 0.0000 0.0000 0.0000